(1)
First-principles (PBE-GGA) data for a relaxed LaCo6Si4 crystal, as listed in Alexandria.

a b c (Å): 3.666 6.661 6.661
angles (deg): 120.00 90.00 90.00
Element x y z (fractional)
La: 0.000 0.000 0.000
Co: 0.000 0.534 0.068
Co: 0.500 0.586 0.793
Co: 0.000 0.534 0.466
Co: 0.000 0.932 0.466
Co: 0.500 0.207 0.793
Co: 0.500 0.207 0.414
Si: 0.500 0.797 0.594
Si: 0.500 0.406 0.203
Si: 0.500 0.797 0.203
Si: 0.000 0.333 0.667

## Properties
**Energy**: -6.879 eV/atom
**Raw formation energy**: -0.583 eV/atom


(2)
First-principles (PBE-GGA) data for a relaxed La2CoSi crystal, as listed in Alexandria.

a b c (Å): 5.754 5.754 5.754
angles (deg): 136.09 136.09 63.84
Element x y z (fractional)
Co: 0.750 0.250 0.500
La: 0.000 0.000 0.000
La: 0.250 0.750 0.500
Si: 0.500 0.500 0.000

## Properties
**Energy**: -5.701 eV/atom
**Raw formation energy**: -0.105 eV/atom


(3)
First-principles (PBE-GGA) data for a relaxed La2CoSi3 crystal, as listed in Alexandria.

a b c (Å): 5.971 5.971 8.293
angles (deg): 112.45 112.45 86.52
Element x y z (fractional)
La: 0.250 0.750 0.500
La: 0.748 0.748 0.000
La: 0.750 0.250 0.500
La: 0.252 0.252 0.000
Co: 0.666 0.666 0.332
Co: 0.334 0.334 0.668
Si: 0.342 0.830 0.171
Si: 0.170 0.658 0.829
Si: 0.658 0.170 0.829
Si: 0.830 0.342 0.171
Si: 0.171 0.171 0.343
Si: 0.829 0.829 0.657

## Properties
**Energy**: -6.280 eV/atom
**Raw formation energy**: -0.742 eV/atom
**Relative energy among the computed polymorphs**: 0 meV per atom


(4)
First-principles (PBE-GGA) data for a relaxed La2CoSi crystal, as listed in Alexandria.

a b c (Å): 8.043 8.043 8.043
angles (deg): 29.44 29.44 29.44
Element x y z (fractional)
Si: 0.457 0.457 0.457
Co: 0.793 0.793 0.793
La: 0.043 0.043 0.043
La: 0.207 0.207 0.207

## Properties
**Energy**: -6.091 eV/atom
**Raw formation energy**: -0.495 eV/atom


(5)
First-principles (PBE-GGA) data for a relaxed LaCoSi2 crystal, as listed in Alexandria.

a b c (Å): 4.803 4.803 4.803
angles (deg): 127.22 109.81 93.22
Element x y z (fractional)
Co: 0.596 0.596 0.000
La: 0.246 0.746 0.500
Si: 0.931 0.931 0.000
Si: 0.727 0.227 0.500

## Properties
**Energy**: -5.880 eV/atom
**Raw formation energy**: -0.160 eV/atom


(6)
First-principles (PBE-GGA) data for a relaxed LaCo2Si crystal, as listed in Alexandria.

a b c (Å): 4.033 4.033 5.473
angles (deg): 68.49 68.49 60.00
Element x y z (fractional)
Si: 0.750 0.750 0.750
Co: 0.059 0.059 0.823
Co: 0.441 0.441 0.677
La: 0.250 0.250 0.250

## Properties
**Energy**: -6.627 eV/atom
**Raw formation energy**: -0.486 eV/atom


(7)
First-principles (PBE-GGA) data for a relaxed LaCo2Si crystal, as listed in Alexandria.

a b c (Å): 4.067 3.899 4.678
angles (deg): 74.85 90.00 90.00
Element x y z (fractional)
Co: 0.000 0.905 0.039
Co: 0.500 0.286 0.089
La: 0.000 0.452 0.527
Si: 0.500 0.857 0.846

## Properties
**Energy**: -6.354 eV/atom
**Raw formation energy**: -0.213 eV/atom


(8)
First-principles (PBE-GGA) data for a relaxed LaSmCoSi crystal, as listed in Alexandria.

a b c (Å): 4.063 4.063 7.762
angles (deg): 90.08 105.09 120.00
Element x y z (fractional)
La: 0.342 0.037 0.379
Sm: 0.008 0.868 0.876
Co: 0.508 0.619 0.127
Si: 0.834 0.281 0.115

## Properties
**Energy**: -6.022 eV/atom
**Raw formation energy**: -0.479 eV/atom


(9)
First-principles (PBE-GGA) data for a relaxed La2CoSi2Tc crystal, as listed in Alexandria.

a b c (Å): 5.929 6.007 8.222
angles (deg): 111.42 111.13 90.00
Element x y z (fractional)
La: 0.409 0.158 0.315
La: 0.591 0.842 0.685
La: 0.094 0.342 0.685
La: 0.906 0.658 0.315
Co: 0.500 0.750 0.000
Co: 0.500 0.250 0.000
Si: 0.821 0.083 0.166
Si: 0.345 0.583 0.166
Si: 0.655 0.417 0.834
Si: 0.179 0.917 0.834
Tc: 0.000 0.750 0.000
Tc: 0.000 0.250 0.000

## Properties
**Energy**: -7.000 eV/atom
**Raw formation energy**: -0.638 eV/atom


(10)
First-principles (PBE-GGA) data for a relaxed LaCoSi2Tc crystal, as listed in Alexandria.

a b c (Å): 4.169 4.169 5.798
angles (deg): 111.07 111.07 90.00
Element x y z (fractional)
La: 0.000 0.000 0.000
Co: 0.750 0.250 0.500
Si: 0.638 0.638 0.275
Si: 0.362 0.362 0.725
Tc: 0.250 0.750 0.500

## Properties
**Energy**: -7.334 eV/atom
**Raw formation energy**: -0.685 eV/atom


(11)
First-principles (PBE-GGA) data for a relaxed La2ZnCoSi crystal, as listed in Alexandria.

a b c (Å): 5.351 5.351 4.345
angles (deg): 90.00 90.00 90.00
Element x y z (fractional)
Zn: 0.500 0.500 0.500
Co: 0.000 0.000 0.000
Si: 0.000 0.000 0.500
La: 0.000 0.500 0.000
La: 0.500 0.000 0.000

## Properties
**Energy**: -5.057 eV/atom
**Raw formation energy**: -0.326 eV/atom


(12)
First-principles (PBE-GGA) data for a relaxed LaSmCo2 crystal, as listed in Alexandria.

a b c (Å): 3.460 4.905 4.905
angles (deg): 90.00 90.00 90.00
Element x y z (fractional)
Co: 0.000 0.000 0.500
Co: 0.000 0.500 0.000
Sm: 0.500 0.500 0.500
La: 0.500 0.000 0.000

## Properties
**Energy of formation from the pure elements**: 0.019 eV/atom
**Energy**: -5.946 eV/atom
**Relative energy among the computed polymorphs**: 106 meV per atom


no.,total moment (Bohr magnetons per cell)
1,0.00
2,0.84
3,0.00
4,0.00
5,0.00
6,0.00
7,0.00
8,0.00
9,0.38
10,0.00
11,0.00
12,0.84